Record 1
Entry from the Alexandria database: a relaxed structure of Rb3Na2VF8 (PBE+U).

Computed properties:
As for the volume: 18.62 Å³ per atom. The calculation puts the calculated total energy at -4.76 eV per atom. The value obtained for the density of states at the Fermi level is 0.00 states/eV/atom.

Cell: 6.0487 6.0487 8.2279 Å, 90.00 90.00 120.00°
Site moments in Bohr magnetons follow the coordinates.
Fractional positions:
1 Na 0.6667 0.3333 0.7927  0.00
2 Na 0.3333 0.6667 0.2073  0.00
3 F 0.3057 0.1529 0.6427  0.00
4 F 0.1529 0.8471 0.3573  0.00
5 Rb 0.3333 0.6667 0.6408  0.00
6 F 0.8471 0.6943 0.6427  0.00
7 Rb 0.6667 0.3333 0.3592  0.00
8 F 0.8471 0.1529 0.6427  0.00
9 F 0.6667 0.3333 0.0478  0.00
10 V 0.0000 0.0000 0.5000  1.90
11 F 0.6943 0.8471 0.3573  0.00
12 Rb 0.0000 0.0000 0.0000  0.00
13 F 0.3333 0.6667 0.9522  0.00
14 F 0.1529 0.3057 0.3573  0.00

Record 2
Entry from the Alexandria database: a relaxed structure of RbNa2VF8 (PBE+U).

Computed properties:
As for the volume: 16.01 Å³ per atom. The calculation puts the calculated total energy at -4.76 eV per atom. The value obtained for the density of states at the Fermi level is 0.29 states/eV/atom.

Cell: 5.0445 4.9504 7.6985 Å, 89.83 89.92 91.54°
Site moments in Bohr magnetons follow the coordinates.
Fractional positions:
1 Na 0.5002 0.5005 0.2401  0.00
2 F 0.5106 0.7365 0.4998  0.28
3 Na 0.4998 0.4995 0.7599  0.00
4 F 0.1532 0.7904 0.8307  -0.01
5 F 0.8493 0.2115 0.8300  -0.01
6 F 0.4894 0.2635 0.5002  0.28
7 F 0.1507 0.7885 0.1700  -0.01
8 F 0.2964 0.2354 0.0008  -0.01
9 Rb 0.0000 0.0000 0.5000  0.00
10 V 0.0000 0.0000 0.0000  0.67
11 F 0.7036 0.7646 0.9992  -0.01
12 F 0.8468 0.2096 0.1693  -0.01

Record 3
Entry from the Alexandria database: a relaxed structure of RbNaVF4 (PBE+U).

Computed properties:
As for the volume: 16.48 Å³ per atom. The calculation puts the calculated total energy at -5.13 eV per atom.

Cell: 4.1927 4.1927 7.2012 Å, 106.92 106.92 90.00°
Site moments in Bohr magnetons follow the coordinates.
Fractional positions:
1 V 0.0012 0.0012 0.0023  2.75
2 Rb 0.6485 0.6485 0.2970  0.00
3 F 0.9911 0.4911 0.9822  0.01
4 F 0.4911 0.9911 0.9822  0.01
5 F 0.8441 0.8441 0.6882  0.01
6 Na 0.3564 0.3564 0.7127  0.00
7 F 0.1677 0.1677 0.3354  0.01

Record 4
Entry from the Alexandria database: a relaxed structure of Rb2NaVF6 (PBE+U).

Computed properties:
As for the volume: 16.04 Å³ per atom. The calculation puts the calculated total energy at -5.03 eV per atom. The value obtained for the density of states at the Fermi level is 1.07 states/eV/atom.

Cell: 6.0984 6.0984 6.0984 Å, 60.00 60.00 60.00°
Site moments in Bohr magnetons follow the coordinates.
Fractional positions:
1 F 0.2303 0.7697 0.7697  -0.01
2 Na 0.5000 0.5000 0.5000  0.00
3 V 0.0000 0.0000 0.0000  1.95
4 Rb 0.2500 0.2500 0.2500  0.00
5 F 0.7697 0.2303 0.7697  -0.01
6 F 0.7697 0.2303 0.2303  -0.01
7 F 0.7697 0.7697 0.2303  -0.01
8 F 0.2303 0.2303 0.7697  -0.01
9 Rb 0.7500 0.7500 0.7500  0.00
10 F 0.2303 0.7697 0.2303  -0.01

Record 5
Entry from the Alexandria database: a relaxed structure of Rb3NaV2F9 (PBE+U).

Computed properties:
As for the volume: 15.74 Å³ per atom. The calculation puts the calculated total energy at -5.22 eV per atom. The value obtained for the density of states at the Fermi level is 0.54 states/eV/atom.

Cell: 6.0545 6.0545 7.4350 Å, 90.00 90.00 120.00°
Site moments in Bohr magnetons follow the coordinates.
Fractional positions:
1 V 0.3333 0.6667 0.1579  2.35
2 F 0.8235 0.6469 0.6868  0.00
3 Na 0.0000 0.0000 0.5000  0.00
4 Rb 0.6667 0.3333 0.3502  0.00
5 Rb 0.3333 0.6667 0.6498  0.00
6 F 0.5000 0.5000 0.0000  0.00
7 F 0.1765 0.3531 0.3132  0.00
8 F 0.8235 0.1765 0.6868  0.00
9 F 0.1765 0.8235 0.3132  0.00
10 F 0.6469 0.8235 0.3132  0.00
11 F 0.3531 0.1765 0.6868  0.00
12 Rb 0.0000 0.0000 0.0000  0.00
13 F 0.5000 0.0000 0.0000  0.00
14 F 0.0000 0.5000 0.0000  0.00
15 V 0.6667 0.3333 0.8421  2.35

Record 6
Entry from the Alexandria database: a relaxed structure of RbNa2WF8 (PBE+U).

Computed properties:
As for the volume: 18.79 Å³ per atom. The calculation puts the calculated total energy at -4.85 eV per atom. The value obtained for the density of states at the Fermi level is 0.00 states/eV/atom.

Cell: 4.8587 5.7113 8.2418 Å, 88.72 89.01 80.49°
Site moments in Bohr magnetons follow the coordinates.
Fractional positions:
1 W 0.0000 0.0000 0.0000  0.98
2 F 0.1939 0.7940 0.8319  0.02
3 F 0.8061 0.2060 0.1681  0.02
4 F 0.7286 0.7943 0.0081  -0.01
5 Na 0.5099 0.5070 0.3060  0.00
6 Rb 0.0000 0.0000 0.5000  0.00
7 Na 0.4901 0.4930 0.6940  0.00
8 F 0.2714 0.2057 0.9919  -0.01
9 F 0.6294 0.7112 0.5024  0.00
10 F 0.8075 0.2005 0.8266  0.02
11 F 0.3706 0.2888 0.4976  0.00
12 F 0.1925 0.7995 0.1734  0.02